DFT (GGA-PBE) results for a geometry-optimized SrZrRe2 structure.

The structure in CIF format:
```
data_SrZrRe2
_symmetry_space_group_name_H-M 'C m m m'
_symmetry_Int_Tables_number 65
_symmetry_space_group_name_Hall '-C 2 2'
_cell_length_a 6.370
_cell_length_b 9.410
_cell_length_c 2.671
_cell_angle_alpha 90.00
_cell_angle_beta 90.00
_cell_angle_gamma 90.00
loop_
_atom_site_label
_atom_site_fract_x
_atom_site_fract_y
_atom_site_fract_z
Sr1 0.000 0.000 0.000
Zr1 0.000 0.500 0.000
Re1 0.250 0.250 0.500
```

Results
- total DFT energy (no corrections) (eV for the cell shown) = -62.861
- ΔE_f (eV/atom) = 0.924
- excess energy over the best structure of this formula in the dataset (meV per atom) = 459


DFT (GGA-PBE) results for a geometry-optimized SrZrRe2 structure.

The structure in CIF format:
```
data_SrZrRe2
_symmetry_space_group_name_H-M 'R -3 m'
_symmetry_Int_Tables_number 166
_symmetry_space_group_name_Hall '-R 3 2"'
_cell_length_a 3.1679
_cell_length_b 3.1679
_cell_length_c 28.0961
_cell_angle_alpha 90.00
_cell_angle_beta 90.00
_cell_angle_gamma 120.00
loop_
_atom_site_label
_atom_site_fract_x
_atom_site_fract_y
_atom_site_fract_z
Sr1 0.0000 0.0000 0.0000
Zr1 0.0000 0.0000 0.5000
Re1 0.0000 0.0000 0.2404
```

Results
- total DFT energy (no corrections) (eV for the cell shown) = -95.478
- ΔE_f (eV/atom) = 0.825
- excess energy over the best structure of this formula in the dataset (meV per atom) = 360


DFT (GGA-PBE) results for a geometry-optimized SrZrRe2 structure.

The structure in CIF format:
```
data_SrZrRe2
_symmetry_space_group_name_H-M 'C 1 2/m 1'
_symmetry_Int_Tables_number 12
_cell_length_a 9.823
_cell_length_b 3.730
_cell_length_c 6.169
_cell_angle_alpha 90.00
_cell_angle_beta 105.03
_cell_angle_gamma 90.00
loop_
_symmetry_equiv_pos_as_xyz
'x,y,z'
'-x,-y,-z'
'-x,y,-z'
'x,-y,z'
'x+1/2,y+1/2,z'
'-x+1/2,-y+1/2,-z'
'-x+1/2,y+1/2,-z'
'x+1/2,-y+1/2,z'
loop_
_atom_site_label
_atom_site_fract_x
_atom_site_fract_y
_atom_site_fract_z
Sr1 0.000 0.000 0.000
Zr1 0.000 0.500 0.500
Re1 0.248 0.000 0.618
```

Results
- total DFT energy (no corrections) (eV for the cell shown) = -65.244
- ΔE_f (eV/atom) = 0.626
- excess energy over the best structure of this formula in the dataset (meV per atom) = 161


Number 1: spin magnetization 0.003 μB/cell. Number 2: spin magnetization 0.000 μB/cell. Number 3: spin magnetization 0.000 μB/cell.